Material: Tm2Be4AlPt3
Method: DFT, PBE
State: relaxed

extended XYZ file:
```
10
Lattice="3.834 0.000 0.000 0.000 3.834 0.000 0.000 0.000 10.296" Properties=species:S:1:pos:R:3 pbc="T T T"
Tm 0.000 1.917 2.534
Tm 1.917 0.000 7.761
Be 0.000 0.000 0.000
Be 0.000 1.917 6.630
Be 1.917 0.000 3.665
Be 1.917 1.917 0.000
Al 0.000 0.000 5.148
Pt 0.000 1.917 8.985
Pt 1.917 0.000 1.311
Pt 1.917 1.917 5.148
```

Values from the calculation:
Total magnetization ... 0.00 μB/atom
Calculated formation energy ... -0.783 eV/atom
Crystal system ... tetragonal
DFT total energy ... -53.5 eV per cell
Calculated density ... 10.82 g cm⁻³